LiHoZn2Pt2 | PBE | relaxed

Cell lengths 4.340, 4.340, 6.467 Å; angles 90.00, 90.00, 120.00 degrees
Sites, in units of the cell vectors:
Li 0.000 0.000 0.000
Ho 0.000 0.000 0.500
Zn 0.333 0.667 0.826
Zn 0.667 0.333 0.174
Pt 0.333 0.667 0.240
Pt 0.667 0.333 0.760

Properties
* SG: P-3m1
* energy of formation: -0.771 eV/atom

LiHoZnPt | PBE | relaxed

Cell lengths 4.654, 4.654, 4.654 Å; angles 60.00, 60.00, 60.00 degrees
Sites, in units of the cell vectors:
Li 0.000 0.000 0.000
Ho 0.750 0.750 0.750
Zn 0.250 0.250 0.250
Pt 0.500 0.500 0.500

Properties
* SG: F-43m
* energy of formation: -0.645 eV/atom

LiHoPu | PBE | relaxed

Cell lengths 3.356, 3.356, 8.307 Å; angles 90.00, 90.00, 120.00 degrees
Sites, in units of the cell vectors:
Li 0.000 0.000 0.000
Ho 0.333 0.667 0.669
Pu 0.667 0.333 0.329

Properties
* energy above the lowest structure with this stoichiometry: 131 meV/atom
* SG: P3m1
* energy of formation: 0.235 eV/atom

LiHoPu | PBE | relaxed

Cell lengths 3.422, 3.422, 13.520 Å; angles 93.33, 93.33, 70.32 degrees
Sites, in units of the cell vectors:
Li 0.231 0.231 0.077
Li 0.769 0.769 0.923
Ho 0.306 0.306 0.728
Ho 0.694 0.694 0.272
Pu 0.309 0.309 0.460
Pu 0.691 0.691 0.540

Properties
* energy above the lowest structure with this stoichiometry: 0 meV/atom
* SG: C2/m
* energy of formation: 0.104 eV/atom

LiHoPu | PBE | relaxed

Cell lengths 7.637, 7.637, 7.637 Å; angles 155.00, 155.00, 35.64 degrees
Sites, in units of the cell vectors:
Li 0.000 0.000 0.000
Ho 0.335 0.335 0.000
Pu 0.661 0.661 0.000

Properties
* energy above the lowest structure with this stoichiometry: 144 meV/atom
* SG: I4mm
* energy of formation: 0.247 eV/atom

LiHoPuRh | PBE | relaxed

Cell lengths 4.918, 4.918, 4.918 Å; angles 60.00, 60.00, 60.00 degrees
Sites, in units of the cell vectors:
Li 0.000 0.000 0.000
Ho 0.750 0.750 0.750
Pu 0.250 0.250 0.250
Rh 0.500 0.500 0.500

Properties
* SG: F-43m
* energy of formation: -0.280 eV/atom